Material: VCuPtO6
Method: DFT, PBE+U
State: relaxed

Cell: 5.0061 5.0061 8.8386 Å, 90.00 90.00 120.00°
Closest atoms and distances in Å follow each position.
Element x y z (fractional)
V: 0.3333 0.6667 0.2500  6 O 1.90
V: 0.6667 0.3333 0.7500  6 O 1.90
Cu: 0.0000 0.0000 0.0000  6 O 2.08
Cu: 0.0000 0.0000 0.5000  6 O 2.08
Pt: 0.3333 0.6667 0.7500  6 O 2.00
Pt: 0.6667 0.3333 0.2500  6 O 2.00
O: 0.0154 0.3554 0.1288  1 V 1.90, 1 Pt 2.00, 1 Cu 2.08
O: 0.0154 0.6600 0.3712  1 V 1.90, 1 Pt 2.00, 1 Cu 2.08
O: 0.3400 0.3554 0.3712  1 V 1.90, 1 Pt 2.00, 1 Cu 2.08
O: 0.3400 0.9846 0.1288  1 V 1.90, 1 Pt 2.00, 1 Cu 2.08
O: 0.3554 0.0154 0.6288  1 V 1.90, 1 Pt 2.00, 1 Cu 2.08
O: 0.3554 0.3400 0.8712  1 V 1.90, 1 Pt 2.00, 1 Cu 2.08
O: 0.6446 0.6600 0.1288  1 V 1.90, 1 Pt 2.00, 1 Cu 2.08
O: 0.6446 0.9846 0.3712  1 V 1.90, 1 Pt 2.00, 1 Cu 2.08
O: 0.6600 0.0154 0.8712  1 V 1.90, 1 Pt 2.00, 1 Cu 2.08
O: 0.6600 0.6446 0.6288  1 V 1.90, 1 Pt 2.00, 1 Cu 2.08
O: 0.9846 0.3400 0.6288  1 V 1.90, 1 Pt 2.00, 1 Cu 2.08
O: 0.9846 0.6446 0.8712  1 V 1.90, 1 Pt 2.00, 1 Cu 2.08

## Properties
Calculated total energy, eV per atom: -6.128
Space group: No. 163